Below is a relaxed structure of IrPdF5, with properties calculated at the GGA-PBE level.

calculated volume: 210.7 Å³/cell
total magnetization: 2.06 μB/f.u.
raw total energy: -4.517 eV per atom

The structure in CIF format:
```
data_IrPdF5
_chemical_formula_sum 'Ir2 Pd2 F10'
_symmetry_space_group_name_H-M 'P 1'
_symmetry_Int_Tables_number 1
_cell_length_a 5.559
_cell_length_b 5.559
_cell_length_c 7.683
_cell_angle_alpha 71.78
_cell_angle_beta 71.78
_cell_angle_gamma 74.82
loop_
_symmetry_equiv_pos_as_xyz
'x,y,z'
loop_
_atom_site_label
_atom_site_fract_x
_atom_site_fract_y
_atom_site_fract_z
F1 0.673 0.260 0.491
F2 0.172 0.301 0.362
F3 0.699 0.828 0.138
F4 0.327 0.740 0.509
F5 0.301 0.172 0.862
F6 0.828 0.699 0.638
F7 0.088 0.912 0.250
F8 0.740 0.327 0.009
F9 0.912 0.088 0.750
F10 0.260 0.673 0.991
Pd1 0.493 0.507 0.250
Pd2 0.507 0.493 0.750
Ir1 0.000 0.000 0.500
Ir2 0.000 0.000 0.000
```

---

Below is a relaxed structure of FeAgAs2, with properties calculated at the GGA-PBE level.

excess energy over the best structure of this formula in the dataset: 298 meV per atom
calculated formation energy: 0.347 eV per atom
calculated volume: 66.6 Å³/cell
total magnetization: 2.28 μB/f.u.

The structure in CIF format:
```
data_FeAgAs2
_chemical_formula_sum 'Fe1 Ag1 As2'
_symmetry_space_group_name_H-M 'P 1'
_symmetry_Int_Tables_number 1
_cell_length_a 4.717
_cell_length_b 4.717
_cell_length_c 4.717
_cell_angle_alpha 125.83
_cell_angle_beta 125.83
_cell_angle_gamma 80.17
loop_
_symmetry_equiv_pos_as_xyz
'x,y,z'
loop_
_atom_site_label
_atom_site_fract_x
_atom_site_fract_y
_atom_site_fract_z
Ag1 0.750 0.250 0.500
As1 0.000 0.000 0.000
As2 0.500 0.500 0.000
Fe1 0.250 0.750 0.500
```

---

Below is a relaxed structure of LiMg6BO7, with properties calculated at the GGA-PBE level.

excess energy over the best structure of this formula in the dataset: 100 meV per atom
calculated volume: 155.7 Å³/cell
total magnetization: 0.71 μB/f.u.

The structure in CIF format:
```
data_LiMg6BO7
_chemical_formula_sum 'Li1 Mg6 B1 O7'
_symmetry_space_group_name_H-M 'P 1'
_symmetry_Int_Tables_number 1
_cell_length_a 4.115
_cell_length_b 4.115
_cell_length_c 9.195
_cell_angle_alpha 90.00
_cell_angle_beta 90.00
_cell_angle_gamma 90.00
loop_
_symmetry_equiv_pos_as_xyz
'x,y,z'
loop_
_atom_site_label
_atom_site_fract_x
_atom_site_fract_y
_atom_site_fract_z
Mg1 0.000 0.500 0.763
Mg2 0.000 0.500 0.210
Mg3 0.000 0.000 0.527
Mg4 0.500 0.000 0.763
Mg5 0.500 0.000 0.210
Mg6 0.500 0.500 0.482
O1 0.500 0.500 0.263
O2 0.000 0.500 0.993
O3 0.500 0.500 0.803
O4 0.000 0.500 0.530
O5 0.500 0.000 0.993
O6 0.000 0.000 0.754
O7 0.500 0.000 0.530
B1 0.500 0.500 0.954
Li1 0.000 0.000 0.975
```